V6TcGe2: relaxed, PBE.

Cell lengths 6.5369, 5.1277, 5.1277 Å; angles 58.61, 65.22, 65.22 degrees
Atoms (fractional coordinates):
V 0.4190 0.7736 0.7736
Ge 0.1536 0.3528 0.3528
Ge 0.8464 0.6472 0.6472
V 0.5810 0.2264 0.2264
V 0.2766 0.3386 0.8202
V 0.2766 0.8202 0.3386
V 0.7234 0.6614 0.1798
Tc 0.0000 0.0000 0.0000
V 0.7234 0.1798 0.6614

energy relative to the elements	0.8	eV/f.u.